[1]
Compound: VCuSnO5
Source: Alexandria via LeMat-Bulk
Functional: PBE+U
Structure: optimized geometry

Cell: 5.7566 5.7566 7.6409 Å, 109.55 109.55 91.40°
With the nearest neighbours (Å) after each atom.
Fractional positions:
V  0.3720  0.6280  0.7500  4 O 1.74-1.79
V  0.6280  0.3720  0.2500  4 O 1.74-1.79
Cu  0.6786  0.3214  0.7500  3 O 1.94-2.02
Cu  0.3214  0.6786  0.2500  3 O 1.94-2.02
O  0.3026  0.2950  0.6515  1 V 1.79
O  0.9142  0.0858  0.7500  1 Cu 1.94, 2 Sn 2.04
O  0.6974  0.7050  0.3485  1 V 1.79
O  0.7471  0.2436  0.0636  1 V 1.74
O  0.2529  0.7564  0.9364  1 V 1.74
O  0.0858  0.9142  0.2500  1 Cu 1.94, 2 Sn 2.04
O  0.2950  0.3026  0.1515  1 V 1.79
O  0.7050  0.6974  0.8485  1 V 1.79
O  0.7564  0.2529  0.4364  1 V 1.74
O  0.2436  0.7471  0.5636  1 V 1.74
Sn  0.0000  0.0000  0.0000  6 O 2.04-2.11
Sn  0.0000  0.0000  0.5000  6 O 2.04-2.11

The crystal system is monoclinic. For the calculated total energy, the calculation gives -103.83 eV/cell. As for the space group: C2/c. The total magnetic moment is 0.0064 μB/atom.

=====

[2]
Compound: CuSnW2O
Source: Alexandria via LeMat-Bulk
Functional: PBE+U
Structure: optimized geometry

Cell: 5.5142 4.0699 5.5142 Å, 90.00 90.00 90.00°
With the nearest neighbours (Å) after each atom.
Fractional positions:
O  0.0000  0.5000  0.0000  2 Sn 2.03
W  0.5000  0.0000  0.0000  2 Sn 2.76
W  0.0000  0.0000  0.5000  2 Sn 2.76
Sn  0.0000  0.0000  0.0000  2 O 2.03
Cu  0.5000  0.5000  0.5000  8 W 3.43

The crystal system is tetragonal. For the calculated total energy, the calculation gives -19.62 eV/cell. As for the space group: P4/mmm. The total magnetic moment is 1.7350 μB/atom.